[1]
## SiTc2Te (PBE)

Data for a relaxed structure of SiTc2Te.

Energy relative to the lowest polymorph listed for this composition (eV/atom): 0.063
E_tot (eV per formula unit): -29.065
Formation energy without anion corrections (meV per atom): 58
Fermi-level density of states (states/eV per cell): 2.14

Lattice parameters (Å, degrees): 4.4205 4.4205 3.1542 90.00 90.00 90.00
Element x y z (fractional)
Si1 0.0000 0.0000 0.0000
Tc1 0.0000 0.5000 0.5000
Tc2 0.5000 0.0000 0.5000
Te1 0.5000 0.5000 0.0000

---

[2]
## Pm4GePCl2 (PBE)

Data for a relaxed structure of Pm4GePCl2.

E_tot (eV per formula unit): -44.169
Formation energy without anion corrections (meV per atom): -1431
Fermi-level density of states (states/eV per cell): 3.78

Lattice parameters (Å, degrees): 7.2227 4.1664 7.3213 90.00 109.26 90.00
Element x y z (fractional)
Pm1 0.2321 0.0000 0.2173
Pm2 0.2512 0.5000 0.7778
Pm3 0.7488 0.5000 0.2222
Pm4 0.7679 0.0000 0.7827
Ge1 0.5000 0.0000 0.0000
P1 0.0000 0.5000 0.0000
Cl1 0.0000 0.0000 0.5000
Cl2 0.5000 0.5000 0.5000

---

[3]
## V2GaAs (PBE)

Data for a relaxed structure of V2GaAs.

Energy relative to the lowest polymorph listed for this composition (eV/atom): 0.187
E_tot (eV per formula unit): -25.361
Fermi-level density of states (states/eV per cell): 13.88

Lattice parameters (Å, degrees): 6.7521 6.7521 5.5012 90.00 90.00 90.00
Element x y z (fractional)
V1 0.2337 0.2500 0.1250
V2 0.2500 0.7337 0.3750
V3 0.2500 0.7663 0.8750
V4 0.2663 0.2500 0.6250
V5 0.7337 0.7500 0.6250
V6 0.7500 0.2337 0.8750
V7 0.7500 0.2663 0.3750
V8 0.7663 0.7500 0.1250
Ga1 0.0000 0.0000 0.5000
Ga2 0.0000 0.5000 0.7500
Ga3 0.5000 0.0000 0.2500
Ga4 0.5000 0.5000 0.0000
As1 0.0000 0.0000 0.0000
As2 0.0000 0.5000 0.2500
As3 0.5000 0.0000 0.7500
As4 0.5000 0.5000 0.5000

---

[4]
## Ac2HoZn (PBE)

Data for a relaxed structure of Ac2HoZn.

Energy relative to the lowest polymorph listed for this composition (eV/atom): 0.000
E_tot (eV per formula unit): -14.394
Fermi-level density of states (states/eV per cell): 4.66

Lattice parameters (Å, degrees): 3.8918 3.8918 9.0400 90.00 90.00 90.00
Element x y z (fractional)
Ac1 0.0000 0.0000 0.2162
Ac2 0.0000 0.0000 0.7838
Ho1 0.5000 0.5000 0.5000
Zn1 0.5000 0.5000 0.0000

---

[5]
## Tl2Sb2Se5 (PBE)

Data for a relaxed structure of Tl2Sb2Se5.

Energy relative to the lowest polymorph listed for this composition (eV/atom): 0.034
E_tot (eV per formula unit): -32.337
Formation energy without anion corrections (meV per atom): -215
Fermi-level density of states (states/eV per cell): 2.41

Lattice parameters (Å, degrees): 7.3888 7.3888 7.6219 114.52 114.52 46.79
Element x y z (fractional)
Tl1 0.1171 0.1171 0.4379
Tl2 0.8829 0.8829 0.5621
Sb1 0.3688 0.3688 0.0685
Sb2 0.6312 0.6312 0.9315
Se1 0.1451 0.1451 0.9458
Se2 0.3839 0.3839 0.7165
Se3 0.5000 0.5000 0.5000
Se4 0.6161 0.6161 0.2835
Se5 0.8549 0.8549 0.0542

---

[6]
## GdAg2 (PBE)

Data for a relaxed structure of GdAg2.

E_tot (eV per formula unit): -20.291
Fermi-level density of states (states/eV per cell): 6.86

Lattice parameters (Å, degrees): 5.7317 5.7317 5.7317 60.00 60.00 60.00
Element x y z (fractional)
Gd1 0.1250 0.1250 0.1250
Gd2 0.8750 0.8750 0.8750
Ag1 0.0000 0.5000 0.5000
Ag2 0.5000 0.0000 0.5000
Ag3 0.5000 0.5000 0.0000
Ag4 0.5000 0.5000 0.5000

---

[7]
## Na3TmPd3O8 (PBE)

Data for a relaxed structure of Na3TmPd3O8.

E_tot (eV per formula unit): -82.194
Formation energy without anion corrections (meV per atom): -1235
Fermi-level density of states (states/eV per cell): 2.13

Lattice parameters (Å, degrees): 6.5903 6.5903 6.3594 114.93 114.93 55.48
Element x y z (fractional)
Na1 0.0000 0.0000 0.0000
Na2 0.0000 0.5000 0.0000
Na3 0.5000 0.0000 0.0000
Tm1 0.0000 0.0000 0.5000
Pd1 0.0000 0.5000 0.5000
Pd2 0.5000 0.0000 0.5000
Pd3 0.5000 0.5000 0.5000
O1 0.2224 0.6851 0.6773
O2 0.2229 0.2229 0.2637
O3 0.2229 0.2229 0.6960
O4 0.3149 0.7776 0.3227
O5 0.6851 0.2224 0.6773
O6 0.7771 0.7771 0.3040
O7 0.7771 0.7771 0.7363
O8 0.7776 0.3149 0.3227

---

[8]
## Na7Sr (PBE)

Data for a relaxed structure of Na7Sr.

Energy relative to the lowest polymorph listed for this composition (eV/atom): 0.000
E_tot (eV per formula unit): -10.685
Fermi-level density of states (states/eV per cell): 8.92

Lattice parameters (Å, degrees): 14.6317 11.4066 3.9644 90.00 104.69 90.00
Element x y z (fractional)
Na1 0.0000 0.0000 0.0000
Na2 0.1304 0.2294 0.6330
Na3 0.1304 0.7706 0.6330
Na4 0.2464 0.5000 0.7460
Na5 0.2536 0.0000 0.2540
Na6 0.3696 0.2706 0.3670
Na7 0.3696 0.7294 0.3670
Na8 0.5000 0.5000 0.0000
Na9 0.6304 0.2706 0.6330
Na10 0.6304 0.7294 0.6330
Na11 0.7464 0.0000 0.7460
Na12 0.7536 0.5000 0.2540
Na13 0.8696 0.2294 0.3670
Na14 0.8696 0.7706 0.3670
Sr1 0.0000 0.5000 0.0000
Sr2 0.5000 0.0000 0.0000

---

[9]
## SbMoP2 (PBE)

Data for a relaxed structure of SbMoP2.

E_tot (eV per formula unit): -25.879
Formation energy without anion corrections (meV per atom): -26
Fermi-level density of states (states/eV per cell): 6.37

Lattice parameters (Å, degrees): 3.2269 3.2269 24.3457 90.00 90.00 120.00
Element x y z (fractional)
Sb1 0.0000 0.0000 0.0000
Sb2 0.3333 0.6667 0.6667
Sb3 0.6667 0.3333 0.3333
Mo1 0.0000 0.0000 0.5000
Mo2 0.3333 0.6667 0.1667
Mo3 0.6667 0.3333 0.8333
P1 0.0000 0.0000 0.2328
P2 0.0000 0.0000 0.7672
P3 0.3333 0.6667 0.4339
P4 0.3333 0.6667 0.8994
P5 0.6667 0.3333 0.1006
P6 0.6667 0.3333 0.5661

---

[10]
## EuGaPb2 (PBE)

Data for a relaxed structure of EuGaPb2.

Energy relative to the lowest polymorph listed for this composition (eV/atom): 0.104
E_tot (eV per formula unit): -21.625
Fermi-level density of states (states/eV per cell): 4.20

Lattice parameters (Å, degrees): 3.9855 3.9855 7.1774 90.00 90.00 90.00
Element x y z (fractional)
Eu1 0.0000 0.0000 0.0000
Ga1 0.0000 0.0000 0.5000
Pb1 0.5000 0.5000 0.2816
Pb2 0.5000 0.5000 0.7184

---

[11]
## Cr2CdCu (PBE)

Data for a relaxed structure of Cr2CdCu.

E_tot (eV per formula unit): -22.665
Fermi-level density of states (states/eV per cell): 12.43

Lattice parameters (Å, degrees): 6.2787 6.2787 6.2787 90.00 90.00 90.00
Element x y z (fractional)
Cr1 0.0000 0.0000 0.0000
Cr2 0.0000 0.5000 0.5000
Cr3 0.2500 0.2500 0.2500
Cr4 0.2500 0.7500 0.7500
Cr5 0.5000 0.0000 0.5000
Cr6 0.5000 0.5000 0.0000
Cr7 0.7500 0.2500 0.7500
Cr8 0.7500 0.7500 0.2500
Cd1 0.2500 0.2500 0.7500
Cd2 0.2500 0.7500 0.2500
Cd3 0.7500 0.2500 0.2500
Cd4 0.7500 0.7500 0.7500
Cu1 0.0000 0.0000 0.5000
Cu2 0.0000 0.5000 0.0000
Cu3 0.5000 0.0000 0.0000
Cu4 0.5000 0.5000 0.5000

---

[12]
## Ho4TlRh3 (PBE)

Data for a relaxed structure of Ho4TlRh3.

E_tot (eV per formula unit): -48.328
Fermi-level density of states (states/eV per cell): 4.02

Lattice parameters (Å, degrees): 4.8678 4.8678 7.2893 90.00 90.00 90.00
Element x y z (fractional)
Ho1 0.0000 0.5000 0.2315
Ho2 0.0000 0.5000 0.7685
Ho3 0.5000 0.0000 0.2315
Ho4 0.5000 0.0000 0.7685
Tl1 0.0000 0.0000 0.5000
Rh1 0.0000 0.0000 0.0000
Rh2 0.5000 0.5000 0.0000
Rh3 0.5000 0.5000 0.5000